Record 1
Compound: Ac4Nd5Mg
Source: Alexandria
Functional: GGA-PBE
Structure: optimized geometry

Unit cell a=3.8726 b=3.8726 c=25.0630 alpha=90.00 beta=90.00 gamma=90.00
Closest atoms and distances in Å follow each position.
Positions (direct):
Ac: 0.0000 0.0000 0.1831  8 Nd 3.79-3.81, 4 Ac 3.87
Ac: 0.0000 0.0000 0.3947  8 Nd 3.80-3.81, 4 Ac 3.87
Ac: 0.0000 0.0000 0.6053  8 Nd 3.80-3.81, 4 Ac 3.87
Ac: 0.0000 0.0000 0.8169  8 Nd 3.79-3.81, 4 Ac 3.87
Nd: 0.5000 0.5000 0.0787  4 Mg 3.37
Nd: 0.5000 0.5000 0.2888  8 Ac 3.81, 4 Nd 3.87
Nd: 0.5000 0.5000 0.5000  8 Ac 3.80, 4 Nd 3.87
Nd: 0.5000 0.5000 0.7112  8 Ac 3.81, 4 Nd 3.87
Nd: 0.5000 0.5000 0.9213  4 Mg 3.37
Mg: 0.0000 0.0000 0.0000  8 Nd 3.37

## Properties
DFT formation energy: -0.0021 eV/atom
D(E_F): 13.7 states/eV/cell


Record 2
Compound: VCr2Cu2
Source: Alexandria
Functional: GGA-PBE
Structure: optimized geometry

Unit cell a=7.1246 b=7.1246 c=2.4968 alpha=90.00 beta=90.00 gamma=90.00
Closest atoms and distances in Å follow each position.
Positions (direct):
Cr: 0.3927 0.8927 0.0000  1 Cr 2.16, 2 Cu 2.42
Cr: 0.8927 0.6073 0.0000  1 Cr 2.16, 2 Cu 2.42
Cr: 0.6073 0.1073 0.0000  1 Cr 2.16, 2 Cu 2.42
Cr: 0.1073 0.3927 0.0000  1 Cr 2.16, 2 Cu 2.42
Cu: 0.1869 0.6869 0.5000  6 Cr 2.42-2.50, 2 Cu 2.50
Cu: 0.6869 0.8131 0.5000  6 Cr 2.42-2.50, 2 Cu 2.50
Cu: 0.8131 0.3131 0.5000  6 Cr 2.42-2.50, 2 Cu 2.50
Cu: 0.3131 0.1869 0.5000  6 Cr 2.42-2.50, 2 Cu 2.50
V: 0.0000 0.0000 0.0000  2 V 2.50
V: 0.5000 0.5000 0.0000  2 V 2.50

## Properties
DFT formation energy: 0.4672 eV/atom
ΔE to the lowest computed polymorph: 9 meV per atom
D(E_F): 9.3 states/eV/cell


Record 3
Compound: SrHo2Al9
Source: Alexandria
Functional: GGA-PBE
Structure: optimized geometry

Unit cell a=5.6435 b=5.6435 c=9.3958 alpha=72.52 beta=72.52 gamma=60.00
Closest atoms and distances in Å follow each position.
Positions (direct):
Sr: 0.0000 0.0000 0.0000  18 Al 3.26-3.61
Ho: 0.8578 0.8578 0.4266  12 Al 3.20-3.32, 3 Ho 3.51
Ho: 0.1422 0.1422 0.5734  12 Al 3.20-3.32, 3 Ho 3.51
Al: 0.6643 0.6643 0.0072  6 Al 2.75-2.81
Al: 0.3357 0.3357 0.9928  6 Al 2.75-2.81
Al: 0.5000 0.5000 0.5000  6 Al 2.73
Al: 0.4109 0.4109 0.2553  7 Al 2.73-2.89
Al: 0.9229 0.4109 0.2553  7 Al 2.73-2.89
Al: 0.4109 0.9229 0.2553  7 Al 2.73-2.89
Al: 0.5891 0.5891 0.7447  7 Al 2.73-2.89
Al: 0.5891 0.0771 0.7447  7 Al 2.73-2.89
Al: 0.0771 0.5891 0.7447  7 Al 2.73-2.89

## Properties
DFT formation energy: -0.3289 eV/atom
D(E_F): 4.4 states/eV/cell


Record 4
Compound: NaLa2Br6
Source: Alexandria
Functional: GGA-PBE
Structure: optimized geometry

Unit cell a=7.2154 b=7.2154 c=12.8018 alpha=90.00 beta=90.00 gamma=90.00
Closest atoms and distances in Å follow each position.
Positions (direct):
Na: 0.5000 0.5000 0.0000  6 Br 2.89-3.02
Na: 0.0000 0.0000 0.5000  6 Br 2.89-3.02
La: 0.5000 0.5000 0.3470  6 Br 2.95-3.06
La: 0.5000 0.5000 0.6530  6 Br 2.95-3.06
La: 0.0000 0.0000 0.1530  6 Br 2.95-3.06
La: 0.0000 0.0000 0.8470  6 Br 2.95-3.06
Br: 0.7040 0.7040 0.1713  1 Na 3.02, 2 La 3.03-3.06
Br: 0.7040 0.7040 0.8287  1 Na 3.02, 2 La 3.03-3.06
Br: 0.7167 0.7167 0.5000  1 Na 2.89, 2 La 2.95
Br: 0.7833 0.2167 0.0000  1 Na 2.89, 2 La 2.95
Br: 0.7960 0.2040 0.3287  1 Na 3.02, 2 La 3.03-3.06
Br: 0.7960 0.2040 0.6713  1 Na 3.02, 2 La 3.03-3.06
Br: 0.2040 0.7960 0.3287  1 Na 3.02, 2 La 3.03-3.06
Br: 0.2040 0.7960 0.6713  1 Na 3.02, 2 La 3.03-3.06
Br: 0.2167 0.7833 0.0000  1 Na 2.89, 2 La 2.95
Br: 0.2833 0.2833 0.5000  1 Na 2.89, 2 La 2.95
Br: 0.2960 0.2960 0.1713  1 Na 3.02, 2 La 3.03-3.06
Br: 0.2960 0.2960 0.8287  1 Na 3.02, 2 La 3.03-3.06

## Properties
uncorrected formation energy: -1.782 eV per atom
ΔE to the lowest computed polymorph: 0 meV per atom


Record 5
Compound: Ga2Ag2Au
Source: Alexandria
Functional: GGA-PBE
Structure: optimized geometry

Unit cell a=7.4037 b=7.4037 c=3.4036 alpha=90.00 beta=90.00 gamma=90.00
Closest atoms and distances in Å follow each position.
Positions (direct):
Au: 0.0000 0.0000 0.0000  4 Ag 2.88
Au: 0.5000 0.5000 0.0000  4 Ag 2.88
Ga: 0.1665 0.6665 0.5000  6 Ag 2.68-2.82
Ga: 0.6665 0.8335 0.5000  6 Ag 2.68-2.82
Ga: 0.8335 0.3335 0.5000  6 Ag 2.68-2.82
Ga: 0.3335 0.1665 0.5000  6 Ag 2.68-2.82
Ag: 0.3637 0.8637 0.0000  6 Ga 2.68-2.82, 1 Ag 2.85, 2 Au 2.88
Ag: 0.8637 0.6363 0.0000  6 Ga 2.68-2.82, 1 Ag 2.85, 2 Au 2.88
Ag: 0.6363 0.1363 0.0000  6 Ga 2.68-2.82, 1 Ag 2.85, 2 Au 2.88
Ag: 0.1363 0.3637 0.0000  6 Ga 2.68-2.82, 1 Ag 2.85, 2 Au 2.88

## Properties
DFT formation energy: 0.0737 eV/atom
ΔE to the lowest computed polymorph: 124 meV per atom
D(E_F): 3.0 states/eV/cell


Record 6
Compound: BaScAg3
Source: Alexandria
Functional: GGA-PBE
Structure: optimized geometry

Unit cell a=5.7426 b=5.7426 c=5.7426 alpha=90.00 beta=90.00 gamma=90.00
Closest atoms and distances in Å follow each position.
Positions (direct):
Sc: 0.5000 0.5000 0.5000  12 Ag 4.06
Ba: 0.0000 0.0000 0.0000  6 Ag 2.87
Ag: 0.0000 0.5000 0.0000  2 Ba 2.87
Ag: 0.0000 0.0000 0.5000  2 Ba 2.87
Ag: 0.5000 0.0000 0.0000  2 Ba 2.87

## Properties
DFT formation energy: 1.0452 eV/atom
ΔE to the lowest computed polymorph: 904 meV per atom
D(E_F): 9.3 states/eV/cell


Record 7
Compound: Nb2BiCI
Source: Alexandria
Functional: GGA-PBE
Structure: optimized geometry

Unit cell a=5.0621 b=5.0621 c=5.9086 alpha=90.00 beta=90.00 gamma=90.00
Closest atoms and distances in Å follow each position.
Positions (direct):
I: 0.0000 0.0000 0.0000  4 Nb 2.53
C: 0.5000 0.5000 0.5000  4 Bi 3.58, 8 Nb 3.89
Nb: 0.0000 0.5000 0.0000  2 I 2.53
Nb: 0.5000 0.0000 0.0000  2 I 2.53
Bi: 0.0000 0.0000 0.5000  2 I 2.95

## Properties
uncorrected formation energy: 2.942 eV per atom
D(E_F): 6.3 states/eV/cell


Record 8
Compound: YCd2Cl
Source: Alexandria
Functional: GGA-PBE
Structure: optimized geometry

Unit cell a=6.6285 b=5.8887 c=3.5431 alpha=89.84 beta=58.03 gamma=113.80
Closest atoms and distances in Å follow each position.
Positions (direct):
Cd: 0.0000 0.0000 0.0000  2 Cd 2.81
Cd: 0.5000 0.0000 0.5000  2 Cd 2.81
Cl: 0.0000 0.5000 0.5000  2 Y 2.81
Y: 0.5000 0.5000 0.0000  2 Cl 2.81

## Properties
uncorrected formation energy: -0.532 eV per atom
ΔE to the lowest computed polymorph: 116 meV per atom
D(E_F): 2.4 states/eV/cell


Record 9
Compound: Pm2Tl
Source: Alexandria
Functional: GGA-PBE
Structure: optimized geometry

Unit cell a=5.2495 b=6.8966 c=10.2835 alpha=90.00 beta=90.00 gamma=90.00
Closest atoms and distances in Å follow each position.
Positions (direct):
Pm: 0.7500 0.4540 0.7079  5 Tl 3.31-3.62, 4 Pm 3.54-3.56
Pm: 0.2500 0.0460 0.2079  5 Tl 3.31-3.62, 4 Pm 3.54-3.56
Pm: 0.7500 0.9540 0.7921  5 Tl 3.31-3.62, 4 Pm 3.54-3.56
Pm: 0.2500 0.5460 0.2921  5 Tl 3.31-3.62, 4 Pm 3.54-3.56
Pm: 0.7500 0.3180 0.0664  5 Tl 3.29-3.67, 2 Pm 3.54
Pm: 0.2500 0.1820 0.5664  5 Tl 3.29-3.67, 2 Pm 3.54
Pm: 0.7500 0.8180 0.4336  5 Tl 3.29-3.67, 2 Pm 3.54
Pm: 0.2500 0.6820 0.9336  5 Tl 3.29-3.67, 2 Pm 3.54
Tl: 0.7500 0.7902 0.1134  10 Pm 3.29-3.67
Tl: 0.2500 0.7098 0.6134  10 Pm 3.29-3.67
Tl: 0.7500 0.2902 0.3866  10 Pm 3.29-3.67
Tl: 0.2500 0.2098 0.8866  10 Pm 3.29-3.67

## Properties
DFT formation energy: -0.2745 eV/atom
ΔE to the lowest computed polymorph: 0 meV per atom
D(E_F): 13.9 states/eV/cell


Record 10
Compound: HfBi2Pt
Source: Alexandria
Functional: GGA-PBE
Structure: optimized geometry

Unit cell a=3.4492 b=3.4492 c=10.2241 alpha=80.29 beta=80.29 gamma=60.00
Closest atoms and distances in Å follow each position.
Positions (direct):
Hf: 0.0000 0.0000 0.0000  2 Bi 2.99
Bi: 0.0995 0.0995 0.7016  3 Pt 2.84, 1 Hf 2.99
Bi: 0.9005 0.9005 0.2984  3 Pt 2.84, 1 Hf 2.99
Pt: 0.5000 0.5000 0.5000  6 Bi 2.84

## Properties
DFT formation energy: 0.2778 eV/atom
ΔE to the lowest computed polymorph: 182 meV per atom
D(E_F): 3.2 states/eV/cell


Record 11
Compound: Sm2Cd2In
Source: Alexandria
Functional: GGA-PBE
Structure: optimized geometry

Unit cell a=5.0299 b=6.1921 c=10.0232 alpha=95.92 beta=75.47 gamma=66.04
Closest atoms and distances in Å follow each position.
Positions (direct):
Sm: 0.7026 0.2455 0.3494  7 Cd 3.23-3.48, 4 In 3.34-3.49, 2 Sm 3.56-3.60
Sm: 0.8919 0.2802 0.9359  6 Cd 3.29-3.57, 2 In 3.36, 4 Sm 3.55-3.67
Sm: 0.2974 0.7545 0.6506  7 Cd 3.23-3.48, 4 In 3.34-3.49, 2 Sm 3.56-3.60
Sm: 0.1081 0.7198 0.0641  6 Cd 3.29-3.57, 2 In 3.36, 4 Sm 3.55-3.67
Cd: 0.0496 0.3185 0.5823  1 Cd 2.88, 2 In 2.92
Cd: 0.6573 0.8209 0.8646  1 In 2.91, 1 Cd 2.92, 2 Sm 3.23
Cd: 0.9504 0.6815 0.4177  1 Cd 2.88, 2 In 2.92
Cd: 0.3427 0.1791 0.1354  1 In 2.91, 1 Cd 2.92, 2 Sm 3.23
In: 0.5549 0.1902 0.7000  3 Cd 2.91-2.92
In: 0.4451 0.8098 0.3000  3 Cd 2.91-2.92

## Properties
DFT formation energy: -0.3380 eV/atom
ΔE to the lowest computed polymorph: 0 meV per atom
D(E_F): 9.4 states/eV/cell


Record 12
Compound: Nd8GeAs3Se4
Source: Alexandria
Functional: GGA-PBE
Structure: optimized geometry

Unit cell a=8.5243 b=8.5428 c=8.5242 alpha=119.93 beta=120.00 gamma=90.00
Closest atoms and distances in Å follow each position.
Positions (direct):
Nd: 0.2456 0.7395 0.9940  1 Ge 2.96, 2 As 2.98, 3 Se 3.05-3.07
Nd: 0.2456 0.7395 0.4911  1 Ge 2.96, 2 As 2.98, 3 Se 3.05-3.07
Nd: 0.2536 0.2607 0.5071  3 As 2.97, 3 Se 3.06
Nd: 0.7484 0.7395 0.9940  1 Ge 2.96, 2 As 2.98, 3 Se 3.05-3.07
Nd: 0.2516 0.2605 0.0060  1 Ge 2.96, 2 As 2.98, 3 Se 3.05-3.07
Nd: 0.7464 0.7393 0.4929  3 As 2.97, 3 Se 3.06
Nd: 0.7544 0.2605 0.5089  1 Ge 2.96, 2 As 2.98, 3 Se 3.05-3.07
Nd: 0.7544 0.2605 0.0060  1 Ge 2.96, 2 As 2.98, 3 Se 3.05-3.07
Ge: 0.0000 0.5000 0.0000  6 Nd 2.96
As: 0.5000 0.5000 0.0000  6 Nd 2.97-2.98
As: 0.5000 0.5000 0.5000  6 Nd 2.97-2.98
As: 0.0000 0.5000 0.5000  6 Nd 2.97-2.98
Se: 0.5000 0.0000 0.0000  6 Nd 3.07
Se: 0.5000 0.0000 0.5000  6 Nd 3.05-3.06
Se: 0.0000 0.0000 0.0000  6 Nd 3.05-3.06
Se: 0.0000 0.0000 0.5000  6 Nd 3.05-3.06

## Properties
uncorrected formation energy: -1.662 eV per atom
D(E_F): 5.2 states/eV/cell